The following is a DFT calculation (PBE) of a geometry-optimized BaFeSn2 structure.

ΔH_f (0 K) in eV/atom: 0.495
Size of the total moment in μB/cell: 0.00
Density of states at the Fermi level in states/eV per cell: 2.9
Symmetry: Fm-3m, No. 225

Lattice parameters (Å, degrees): 5.0395 5.0395 5.0395 60.00 60.00 60.00
Atoms (fractional coordinates):
Sn 0.2500 0.2500 0.2500
Sn 0.7500 0.7500 0.7500
Ba 0.5000 0.5000 0.5000
Fe 0.0000 0.0000 0.0000

---

The following is a DFT calculation (PBE) of a geometry-optimized BaFe2SnW structure.

ΔH_f (0 K) in eV/atom: 2.802
Size of the total moment in μB/cell: 7.55
Density of states at the Fermi level in states/eV per cell: 9.0
Symmetry: P4/mmm, No. 123

Lattice parameters (Å, degrees): 4.7795 4.7795 5.9938 90.00 90.00 90.00
Last column: magnetic moment on the atom in μB.
Atoms (fractional coordinates):
Sn 0.0000 0.0000 0.5000  -0.14
Fe 0.5000 0.0000 0.0000  2.39
Fe 0.0000 0.5000 0.0000  2.39
W 0.5000 0.5000 0.5000  2.52
Ba 0.0000 0.0000 0.0000  -0.23

---

The following is a DFT calculation (PBE) of a geometry-optimized BaZn2FeSn structure.

ΔH_f (0 K) in eV/atom: -0.119
Size of the total moment in μB/cell: 0.31
Density of states at the Fermi level in states/eV per cell: 3.0
Symmetry: P4/mmm, No. 123

Lattice parameters (Å, degrees): 4.9064 4.9064 4.8739 90.00 90.00 90.00
Last column: magnetic moment on the atom in μB.
Atoms (fractional coordinates):
Zn 0.5000 0.0000 0.0000  -0.01
Zn 0.0000 0.5000 0.0000  -0.01
Ba 0.5000 0.5000 0.5000  0.00
Sn 0.0000 0.0000 0.5000  -0.02
Fe 0.0000 0.0000 0.0000  0.41

---

The following is a DFT calculation (PBE) of a geometry-optimized Ba2ZrFeSn structure.

ΔH_f (0 K) in eV/atom: 0.735
Size of the total moment in μB/cell: 0.00
Density of states at the Fermi level in states/eV per cell: 11.2
Symmetry: P4/mmm, No. 123

Lattice parameters (Å, degrees): 5.5925 5.0770 5.5925 90.00 90.00 90.00
Atoms (fractional coordinates):
Ba 0.0000 0.0000 0.5000
Ba 0.5000 0.0000 0.0000
Sn 0.0000 0.5000 0.0000
Fe 0.0000 0.0000 0.0000
Zr 0.5000 0.5000 0.5000

---

The following is a DFT calculation (PBE) of a geometry-optimized Ba2SrFe structure.

ΔH_f (0 K) in eV/atom: 0.637
Energy above the lowest structure with this stoichiometry in meV per atom: 206
Size of the total moment in μB/cell: 3.00
Density of states at the Fermi level in states/eV per cell: 5.1
Symmetry: F-43m, No. 216

Lattice parameters (Å, degrees): 6.0959 6.0959 6.0959 120.03 120.03 89.95
Last column: magnetic moment on the atom in μB.
Atoms (fractional coordinates):
Ba 0.0000 0.0000 0.0000  -0.05
Ba 0.7500 0.2500 0.5000  -0.03
Fe 0.5000 0.5000 0.0000  3.12
Sr 0.2500 0.7500 0.5000  -0.03

---

The following is a DFT calculation (PBE) of a geometry-optimized Ba2SrFe structure.

ΔH_f (0 K) in eV/atom: 0.431
Energy above the lowest structure with this stoichiometry in meV per atom: 0
Size of the total moment in μB/cell: 2.57
Density of states at the Fermi level in states/eV per cell: 6.4
Symmetry: P4/mmm, No. 123

Lattice parameters (Å, degrees): 4.0978 4.0978 10.4783 90.00 90.00 90.04
Last column: magnetic moment on the atom in μB.
Atoms (fractional coordinates):
Fe 0.5000 0.5000 0.2500  2.91
Sr 0.5000 0.5000 0.7500  0.04
Ba 0.0000 0.0000 0.0713  -0.10
Ba 0.0000 0.0000 0.4287  -0.10

---

The following is a DFT calculation (PBE) of a geometry-optimized Ba2SrFe structure.

ΔH_f (0 K) in eV/atom: 0.636
Energy above the lowest structure with this stoichiometry in meV per atom: 205
Size of the total moment in μB/cell: 1.84
Density of states at the Fermi level in states/eV per cell: 8.8
Symmetry: P4/mmm, No. 123

Lattice parameters (Å, degrees): 5.6017 5.6017 5.3242 90.00 90.00 90.00
Last column: magnetic moment on the atom in μB.
Atoms (fractional coordinates):
Ba 0.0000 0.0000 0.0000  -0.15
Ba 0.5000 0.5000 0.0000  -0.15
Fe 0.5000 0.0000 0.5000  3.02
Sr 0.0000 0.5000 0.5000  -0.08

---

The following is a DFT calculation (PBE) of a geometry-optimized BaSrFe2 structure.

ΔH_f (0 K) in eV/atom: 0.723
Size of the total moment in μB/cell: 5.04
Density of states at the Fermi level in states/eV per cell: 6.4
Symmetry: P4/mmm, No. 123

Lattice parameters (Å, degrees): 4.1274 4.1274 7.1949 90.00 90.00 90.00
Last column: magnetic moment on the atom in μB.
Atoms (fractional coordinates):
Fe 0.0000 0.0000 0.4062  2.71
Fe 0.0000 0.0000 0.0938  2.71
Sr 0.5000 0.5000 0.2500  -0.11
Ba 0.5000 0.5000 0.7500  -0.09

---

The following is a DFT calculation (PBE) of a geometry-optimized BaSr3Fe structure.

ΔH_f (0 K) in eV/atom: 1.474
Energy above the lowest structure with this stoichiometry in meV per atom: 1164
Size of the total moment in μB/cell: 3.25
Density of states at the Fermi level in states/eV per cell: 8.6
Symmetry: Pm-3m, No. 221

Lattice parameters (Å, degrees): 6.2362 6.2362 6.2362 90.00 90.00 90.00
Last column: magnetic moment on the atom in μB.
Atoms (fractional coordinates):
Ba 0.0000 0.0000 0.0000  0.01
Sr 0.0000 0.0000 0.5000  0.00
Sr 0.5000 0.0000 0.0000  -0.02
Sr 0.0000 0.5000 0.0000  -0.01
Fe 0.5000 0.5000 0.5000  3.35

---

The following is a DFT calculation (PBE) of a geometry-optimized BaSrFe2 structure.

ΔH_f (0 K) in eV/atom: 0.371
Size of the total moment in μB/cell: 3.72
Density of states at the Fermi level in states/eV per cell: 4.3
Symmetry: R3m, No. 160

Lattice parameters (Å, degrees): 8.8736 8.8736 8.8736 26.59 26.59 26.59
Last column: magnetic moment on the atom in μB.
Atoms (fractional coordinates):
Sr 0.5397 0.5397 0.5397  -0.05
Fe 0.2903 0.2903 0.2903  1.97
Fe 0.9568 0.9568 0.9568  1.97
Ba 0.7132 0.7132 0.7132  -0.10

---

The following is a DFT calculation (PBE) of a geometry-optimized Ba2SrFe structure.

ΔH_f (0 K) in eV/atom: 0.480
Energy above the lowest structure with this stoichiometry in meV per atom: 49
Size of the total moment in μB/cell: 2.33
Density of states at the Fermi level in states/eV per cell: 7.0
Symmetry: Cm, No. 8

Lattice parameters (Å, degrees): 7.6234 7.6234 6.4235 65.14 65.14 31.41
Last column: magnetic moment on the atom in μB.
Atoms (fractional coordinates):
Ba 0.8146 0.8146 0.6854  -0.08
Ba 0.9991 0.9991 0.0009  -0.05
Fe 0.5017 0.5017 0.4982  2.82
Sr 0.1846 0.1846 0.3155  -0.04

---

The following is a DFT calculation (PBE) of a geometry-optimized Ba4SrFe structure.

ΔH_f (0 K) in eV/atom: 0.782
Size of the total moment in μB/cell: 2.52
Density of states at the Fermi level in states/eV per cell: 16.5
Symmetry: F-43m, No. 216

Lattice parameters (Å, degrees): 7.7034 7.7034 7.7034 60.00 60.00 60.00
Last column: magnetic moment on the atom in μB.
Atoms (fractional coordinates):
Ba 0.3760 0.3760 0.8722  -0.05
Ba 0.8722 0.3760 0.3760  -0.05
Ba 0.3760 0.8722 0.3760  -0.05
Ba 0.3760 0.3760 0.3760  -0.05
Fe 0.7500 0.7500 0.7500  3.24
Sr 0.0000 0.0000 0.0000  -0.02

---

The following is a DFT calculation (PBE) of a geometry-optimized BaSrFe3 structure.

ΔH_f (0 K) in eV/atom: 1.596
Energy above the lowest structure with this stoichiometry in meV per atom: 0
Size of the total moment in μB/cell: 8.29
Density of states at the Fermi level in states/eV per cell: 6.7
Symmetry: Pm-3m, No. 221

Lattice parameters (Å, degrees): 5.3498 5.3498 5.3498 90.00 90.00 90.00
Last column: magnetic moment on the atom in μB.
Atoms (fractional coordinates):
Sr 0.0000 0.0000 0.0000  -0.16
Fe 0.0000 0.0000 0.5000  2.76
Fe 0.0000 0.5000 0.0000  3.00
Fe 0.5000 0.0000 0.0000  3.15
Ba 0.5000 0.5000 0.5000  -0.07

---

The following is a DFT calculation (PBE) of a geometry-optimized BaSrFe2 structure.

ΔH_f (0 K) in eV/atom: 0.948
Size of the total moment in μB/cell: 5.42
Density of states at the Fermi level in states/eV per cell: 5.8
Symmetry: I-4m2, No. 119

Lattice parameters (Å, degrees): 5.2261 5.2261 5.2261 119.45 119.45 90.96
Last column: magnetic moment on the atom in μB.
Atoms (fractional coordinates):
Ba 0.7500 0.2500 0.5000  -0.08
Fe 0.0000 0.0000 0.0000  2.86
Fe 0.2500 0.7500 0.5000  2.89
Sr 0.5000 0.5000 0.0000  -0.06